This record from Alexandria describes a geometry-optimized TaAs2PtSe structure. The functional is PBE.

Summary:
The value obtained for the offset from the most stable computed form is 0.3232 eV per atom. For the spin magnetization, the calculation gives 0.0 μB per formula unit. Its formation energy without anion corrections is 0.984 eV/atom.

The structure in POSCAR format:
```
TaAs2PtSe
1.0
4.7854 0.0000 0.0000
0.0000 4.7854 0.0000
0.0000 0.0000 4.9085
As Pt Ta Se
2 1 1 1
Direct
0.0000 0.5000 0.0000 As
0.5000 0.0000 0.0000 As
0.0000 0.0000 0.0000 Pt
0.5000 0.5000 0.5000 Ta
0.0000 0.0000 0.5000 Se
```

***

This record from Alexandria describes a geometry-optimized TcMo structure. The functional is PBE.

Summary:
The value obtained for the offset from the most stable computed form is 0.0487 eV per atom. As for the energy of formation from the pure elements: 0.12 eV/atom. For the spin magnetization, the calculation gives 0.0 μB per formula unit.

The structure in POSCAR format:
```
TcMo
1.0
4.4210 0.0000 0.0000
2.2105 3.8287 0.0000
-2.2105 1.2762 3.6097
Mo Tc
2 2
Direct
0.5000 0.2500 0.2500 Mo
0.0000 0.0000 0.0000 Mo
0.0000 0.5000 0.5000 Tc
0.5000 0.7500 0.7500 Tc
```

***

This record from Alexandria describes a geometry-optimized NdPb5Se7 structure. The functional is PBE.

Summary:
For the spin magnetization, the calculation gives 0.0 μB per formula unit. Its formation energy without anion corrections is -0.749 eV/atom.

The structure in POSCAR format:
```
NdPb5Se7
1.0
-3.5572 2.3508 -0.1569
-2.0581 -7.1056 -1.7862
-4.2441 -4.8168 24.0491
Se Nd Pb
14 2 10
Direct
0.1779 0.3558 0.3168 Se
0.8853 0.7705 0.3763 Se
0.6515 0.3030 0.0385 Se
0.4348 0.8696 0.2463 Se
0.9285 0.8571 0.1073 Se
0.3759 0.7518 0.9637 Se
0.8229 0.6458 0.8167 Se
0.3490 0.6981 0.5385 Se
0.0718 0.1436 0.6071 Se
0.1154 0.2308 0.8763 Se
0.6247 0.2494 0.4636 Se
0.7956 0.5912 0.6869 Se
0.2048 0.4097 0.1870 Se
0.5658 0.1317 0.7462 Se
0.2038 0.4075 0.7615 Nd
0.7969 0.5938 0.2614 Nd
0.9870 0.9740 0.5006 Pb
0.2880 0.5760 0.0775 Pb
0.4732 0.9465 0.8483 Pb
0.7412 0.4824 0.9247 Pb
0.5562 0.1124 0.1518 Pb
0.7124 0.4248 0.5774 Pb
0.0135 0.0270 0.0008 Pb
0.2594 0.5189 0.4247 Pb
0.5275 0.0549 0.3482 Pb
0.4443 0.8886 0.6518 Pb
```

***

This record from Alexandria describes a geometry-optimized HfCd2GaBr structure. The functional is PBE.

Summary:
For the spin magnetization, the calculation gives 1.1 μB per formula unit. Its formation energy without anion corrections is 0.993 eV/atom.

The structure in POSCAR format:
```
HfCd2GaBr
1.0
5.2832 0.0000 0.0000
0.0000 5.2650 0.0000
0.0000 0.0000 5.2832
Cd Hf Br Ga
2 1 1 1
Direct
0.0000 0.0000 0.5000 Cd
0.5000 0.0000 0.0000 Cd
0.5000 0.5000 0.5000 Hf
0.0000 0.0000 0.0000 Br
0.0000 0.5000 0.0000 Ga
```

***

This record from Alexandria describes a geometry-optimized PmErAu structure. The functional is PBE.

Summary:
The value obtained for the offset from the most stable computed form is 0.1084 eV per atom. As for the energy of formation from the pure elements: -0.42 eV/atom. For the spin magnetization, the calculation gives 0.0 μB per formula unit.

The structure in POSCAR format:
```
PmErAu
1.0
-3.8018 -2.9049 1.5150
0.3779 -4.9945 -0.3156
0.4524 -2.7510 4.1731
Er Au Pm
1 1 1
Direct
0.5000 0.5000 0.5000 Er
0.2500 0.2500 0.2500 Au
0.0000 0.0000 0.0000 Pm
```

***

This record from Alexandria describes a geometry-optimized Li5Mg2GaHg2 structure. The functional is PBE.

Summary:
As for the energy of formation from the pure elements: -0.19 eV/atom. For the spin magnetization, the calculation gives 0.0 μB per formula unit.

The structure in POSCAR format:
```
Li5Mg2GaHg2
1.0
-1.1657 0.4183 -3.8703
5.0486 -8.0749 -2.3934
-7.9372 -5.4950 1.7966
Hg Li Mg Ga
4 10 4 2
Direct
0.0000 0.1282 0.6282 Hg
0.0000 0.6282 0.8718 Hg
0.0000 0.8718 0.3718 Hg
0.0000 0.3718 0.1282 Hg
0.5000 0.4291 0.3091 Li
0.5000 0.8091 0.9291 Li
0.5000 0.6909 0.4291 Li
0.5000 0.9291 0.1909 Li
0.5000 0.5000 0.0000 Li
0.5000 0.0709 0.8091 Li
0.5000 0.1909 0.0709 Li
0.5000 0.3091 0.5709 Li
0.5000 0.0000 0.5000 Li
0.5000 0.5709 0.6909 Li
0.0000 0.8309 0.6691 Mg
0.0000 0.3309 0.8309 Mg
0.0000 0.1691 0.3309 Mg
0.0000 0.6691 0.1691 Mg
0.0000 0.5000 0.5000 Ga
0.0000 0.0000 0.0000 Ga
```

***

This record from Alexandria describes a geometry-optimized LiAl2Cl8 structure. The functional is PBE.

Summary:
For the spin magnetization, the calculation gives 1.0 μB per formula unit. Its formation energy without anion corrections is -1.370 eV/atom.

The structure in POSCAR format:
```
LiAl2Cl8
1.0
-1.3684 1.5738 -5.9982
-5.3384 -6.0734 -1.2236
-8.0287 0.9497 1.2328
Cl Al Li
8 2 1
Direct
0.6627 0.1478 0.1478 Cl
0.8008 0.1251 0.6954 Cl
0.7921 0.6928 0.6928 Cl
0.3373 0.8522 0.8522 Cl
0.1992 0.8749 0.3046 Cl
0.2079 0.3072 0.3072 Cl
0.8008 0.6954 0.1251 Cl
0.1992 0.3046 0.8749 Cl
0.6781 0.8397 0.8397 Al
0.3219 0.1603 0.1603 Al
0.0000 0.0000 0.0000 Li
```

***

This record from Alexandria describes a geometry-optimized BiIr2Ru structure. The functional is PBE.

Summary:
As for the energy of formation from the pure elements: 0.89 eV/atom. For the spin magnetization, the calculation gives 0.0 μB per formula unit.

The structure in POSCAR format:
```
BiIr2Ru
1.0
5.9017 0.0000 0.0000
0.0000 5.9017 0.0000
2.9508 2.9508 5.7227
Ir Ru Bi
4 2 2
Direct
0.3750 0.4220 0.7500 Ir
0.8750 0.8280 0.7500 Ir
0.5780 0.1250 0.2500 Ir
0.1720 0.6250 0.2500 Ir
0.2500 0.7500 0.5000 Ru
0.5000 0.5000 0.0000 Ru
0.0000 0.0000 0.0000 Bi
0.7500 0.2500 0.5000 Bi
```

***

This record from Alexandria describes a geometry-optimized CoHgP2 structure. The functional is PBE.

Summary:
As for the energy of formation from the pure elements: 0.03 eV/atom. For the spin magnetization, the calculation gives 0.0 μB per formula unit.

The structure in POSCAR format:
```
CoHgP2
1.0
-0.0540 -0.2750 -3.1992
0.2702 -4.2588 0.3615
-5.9211 -1.4615 0.2255
Hg Co P
1 1 2
Direct
0.5000 0.4879 0.7121 Hg
0.0000 0.5561 0.3586 Co
0.5000 0.3959 0.1451 P
0.0000 0.0602 0.2841 P
```

***

This record from Alexandria describes a geometry-optimized RbErAg2 structure. The functional is PBE.

Summary:
As for the energy of formation from the pure elements: -0.08 eV/atom. For the spin magnetization, the calculation gives 0.0 μB per formula unit.

The structure in POSCAR format:
```
RbErAg2
1.0
3.7772 0.0000 0.0000
0.0000 3.7772 0.0000
0.0000 0.0000 8.4680
Er Ag Rb
1 2 1
Direct
0.5000 0.5000 0.0000 Er
0.0000 0.0000 0.8245 Ag
0.0000 0.0000 0.1755 Ag
0.5000 0.5000 0.5000 Rb
```

***

This record from Alexandria describes a geometry-optimized Ti2MnAl5Co2 structure. The functional is PBE.

Summary:
As for the energy of formation from the pure elements: -0.41 eV/atom. For the spin magnetization, the calculation gives 2.8 μB per formula unit.

The structure in POSCAR format:
```
Ti2MnAl5Co2
1.0
-1.8207 -2.9857 -1.7070
7.2296 -2.0464 -4.1320
2.2727 -5.1046 6.5043
Co Al Ti Mn
4 10 4 2
Direct
0.0000 0.3804 0.1196 Co
0.0000 0.6196 0.8804 Co
0.0000 0.1196 0.6196 Co
0.0000 0.8804 0.3804 Co
0.5000 0.0710 0.7944 Al
0.5000 0.7056 0.4290 Al
0.5000 0.0000 0.5000 Al
0.5000 0.5000 0.0000 Al
0.5000 0.4290 0.2944 Al
0.5000 0.7944 0.9290 Al
0.5000 0.2944 0.5710 Al
0.5000 0.2056 0.0710 Al
0.5000 0.5710 0.7056 Al
0.5000 0.9290 0.2056 Al
0.0000 0.3256 0.8256 Ti
0.0000 0.8256 0.6744 Ti
0.0000 0.1744 0.3256 Ti
0.0000 0.6744 0.1744 Ti
0.0000 0.0000 0.0000 Mn
0.0000 0.5000 0.5000 Mn
```

***

This record from Alexandria describes a geometry-optimized NdDyCdGe structure. The functional is PBE.

Summary:
As for the energy of formation from the pure elements: -0.47 eV/atom. For the spin magnetization, the calculation gives 0.0 μB per formula unit.

The structure in POSCAR format:
```
NdDyCdGe
1.0
-2.0775 0.8196 4.7267
0.6251 -3.5545 3.7820
3.1050 1.0382 4.0756
Nd Cd Dy Ge
1 1 1 1
Direct
0.0000 0.0000 0.0000 Nd
0.7500 0.7500 0.7500 Cd
0.5000 0.5000 0.5000 Dy
0.2500 0.2500 0.2500 Ge
```